No. 1
A plane-wave DFT calculation with PBE was carried out for CuHgNO2 after structural relaxation.

## Properties
size of the total moment	1.9	μB/f.u.
raw formation energy	0.7212	eV/atom
DFT total energy	-19.03	eV/cell

Unit cell a=3.988 b=3.988 c=3.709 alpha=90.00 beta=90.00 gamma=90.00
Positions (direct):
O 0.000 0.500 0.000
O 0.500 0.000 0.000
Hg 0.500 0.500 0.500
Cu 0.000 0.000 0.000
N 0.000 0.000 0.500



No. 2
A plane-wave DFT calculation with PBE was carried out for CuHgN2O after structural relaxation.

## Properties
size of the total moment	2.6	μB/f.u.
raw formation energy	1.3884	eV/atom
DFT total energy	-19.06	eV/cell

Unit cell a=3.846 b=3.846 c=4.030 alpha=90.00 beta=90.00 gamma=90.00
Positions (direct):
O 0.000 0.000 0.500
Hg 0.500 0.500 0.500
Cu 0.000 0.000 0.000
N 0.000 0.500 0.000
N 0.500 0.000 0.000



No. 3
A plane-wave DFT calculation with PBE was carried out for CuHgNO2 after structural relaxation.

## Properties
size of the total moment	0.2	μB/f.u.
raw formation energy	1.5456	eV/atom
DFT total energy	-14.91	eV/cell

Unit cell a=4.212 b=4.212 c=4.078 alpha=90.00 beta=90.00 gamma=90.00
Positions (direct):
O 0.000 0.500 0.000
O 0.500 0.000 0.000
Hg 0.000 0.000 0.000
Cu 0.500 0.500 0.500
N 0.000 0.000 0.500



No. 4
A plane-wave DFT calculation with PBE was carried out for CuHgN2O after structural relaxation.

## Properties
size of the total moment	3.3	μB/f.u.
raw formation energy	2.1384	eV/atom
DFT total energy	-15.32	eV/cell

Unit cell a=4.234 b=4.234 c=4.293 alpha=90.00 beta=90.00 gamma=90.00
Positions (direct):
O 0.000 0.000 0.500
Hg 0.000 0.000 0.000
Cu 0.500 0.500 0.500
N 0.000 0.500 0.000
N 0.500 0.000 0.000